1.
# Sc2AlSnHg

A relaxed Sc2AlSnHg crystal (PBE-GGA, Alexandria via LeMat-Bulk).

abc: 5.182 5.182 4.863
angles: 90.00 90.00 90.00
Fractional coordinates of all 5 atoms:
Sc: 0.000 0.500 0.000
Sc: 0.500 0.000 0.000
Al: 0.000 0.000 0.000
Sn: 0.500 0.500 0.500
Hg: 0.000 0.000 0.500

## Properties
- N(E_F) (states/eV per cell) = 2.463
- SG = P4/mmm (123)
- theoretical density (g/cm³) = 5.5
- DFT formation energy (eV per atom) = 0.17
- volume (A^3/atom) = 26.12

=====

2.
# TaAlPb

A relaxed TaAlPb crystal (PBE-GGA, Alexandria via LeMat-Bulk).

abc: 6.644 6.644 6.644
angles: 90.00 90.00 90.00
Fractional coordinates of all 12 atoms:
Ta: 0.000 0.000 0.000
Ta: 0.000 0.500 0.500
Ta: 0.500 0.000 0.500
Ta: 0.500 0.500 0.000
Al: 0.250 0.250 0.750
Al: 0.250 0.750 0.250
Al: 0.750 0.250 0.250
Al: 0.750 0.750 0.750
Pb: 0.250 0.250 0.250
Pb: 0.250 0.750 0.750
Pb: 0.750 0.250 0.750
Pb: 0.750 0.750 0.250

## Properties
- N(E_F) (states/eV per cell) = 11.671
- excess energy over the best structure of this formula in the dataset (eV per atom) = 0.528
- SG = F-43m (216)
- theoretical density (g/cm³) = 9.4
- DFT formation energy (eV per atom) = 0.83
- volume (A^3/atom) = 24.45

=====

3.
# Lu5Sn

A relaxed Lu5Sn crystal (PBE-GGA, Alexandria via LeMat-Bulk).

abc: 4.751 14.519 4.781
angles: 90.00 90.00 90.00
Fractional coordinates of all 12 atoms:
Lu: 0.000 0.000 0.000
Lu: 0.000 0.162 0.500
Lu: 0.000 0.330 0.000
Lu: 0.000 0.670 0.000
Lu: 0.000 0.838 0.500
Lu: 0.500 0.170 0.000
Lu: 0.500 0.338 0.500
Lu: 0.500 0.500 0.000
Lu: 0.500 0.662 0.500
Lu: 0.500 0.830 0.000
Sn: 0.000 0.500 0.500
Sn: 0.500 0.000 0.500

## Properties
- N(E_F) (states/eV per cell) = 13.642
- SG = Cmmm (65)
- theoretical density (g/cm³) = 10.0
- DFT formation energy (eV per atom) = -0.25
- volume (A^3/atom) = 27.48

=====

4.
# LiTbEu2

A relaxed LiTbEu2 crystal (PBE-GGA, Alexandria via LeMat-Bulk).

abc: 3.565 3.565 37.476
angles: 90.00 90.00 120.00
Fractional coordinates of all 12 atoms:
Li: 0.000 0.000 0.000
Li: 0.333 0.667 0.667
Li: 0.667 0.333 0.333
Tb: 0.000 0.000 0.500
Tb: 0.333 0.667 0.167
Tb: 0.667 0.333 0.833
Eu: 0.000 0.000 0.409
Eu: 0.000 0.000 0.591
Eu: 0.333 0.667 0.076
Eu: 0.333 0.667 0.257
Eu: 0.667 0.333 0.743
Eu: 0.667 0.333 0.924

## Properties
- N(E_F) (states/eV per cell) = 13.666
- excess energy over the best structure of this formula in the dataset (eV per atom) = 0.163
- SG = R-3m (166)
- theoretical density (g/cm³) = 5.7
- DFT formation energy (eV per atom) = 0.26
- volume (A^3/atom) = 34.37

=====

5.
# Na2Sr2GaSn4

A relaxed Na2Sr2GaSn4 crystal (PBE-GGA, Alexandria via LeMat-Bulk).

abc: 7.200 7.200 7.200
angles: 119.45 119.45 90.95
Fractional coordinates of all 9 atoms:
Na: 0.218 0.218 0.000
Na: 0.782 0.782 0.000
Sr: 0.250 0.750 0.500
Sr: 0.750 0.250 0.500
Ga: 0.500 0.500 0.000
Sn: 0.229 0.229 0.457
Sn: 0.229 0.771 0.000
Sn: 0.771 0.229 0.000
Sn: 0.771 0.771 0.543

## Properties
- N(E_F) (states/eV per cell) = 3.669
- SG = I4/mmm (139)
- theoretical density (g/cm³) = 4.8
- DFT formation energy (eV per atom) = -0.30
- volume (A^3/atom) = 29.56

=====

6.
# CsZr2SiSn

A relaxed CsZr2SiSn crystal (PBE-GGA, Alexandria via LeMat-Bulk).

abc: 5.473 5.473 6.365
angles: 90.00 90.00 90.00
Fractional coordinates of all 5 atoms:
Cs: 0.000 0.000 0.000
Zr: 0.000 0.500 0.500
Zr: 0.500 0.000 0.500
Si: 0.500 0.500 0.000
Sn: 0.000 0.000 0.500

## Properties
- N(E_F) (states/eV per cell) = 5.436
- formation energy (no corrections) (eV/atom) = 1.325
- SG = P4/mmm (123)
- theoretical density (g/cm³) = 4.0
- volume (A^3/atom) = 38.13

=====

Number 1: size of the total moment 0.000 μB/cell. Number 2: size of the total moment 0.000 μB/cell. Number 3: size of the total moment 0.001 μB/cell. Number 4: size of the total moment 47.551 μB/cell. Number 5: size of the total moment 0.000 μB/cell. Number 6: size of the total moment 0.000 μB/cell.